# 1
Here is a relaxed LaMnAg2 crystal from the Alexandria database. Energies are from PBE-GGA.

Output
- Calculated volume: 22.042 Å³/atom
- Crystal system: tetragonal
- Space group: P4mm, No. 99
- Energy relative to the elements: 95.8 meV/atom

Unit cell a=3.5581 b=3.5581 c=6.9642 alpha=90.00 beta=90.00 gamma=90.00
Closest atoms and distances in Å follow each position.
Sites, in units of the cell vectors:
La: 0.0000 0.0000 0.0000  4 Mn 3.26, 6 Ag 3.28-3.60, 4 La 3.56
Mn: 0.5000 0.5000 0.2977  5 Ag 2.79-2.83
Ag: 0.0000 0.0000 0.4834  4 Mn 2.83, 4 Ag 2.93
Ag: 0.5000 0.5000 0.6978  1 Mn 2.79, 4 Ag 2.93

=====

# 2
Here is a relaxed Ba2LiTe2 crystal from the Alexandria database. Energies are from PBE-GGA.

Output
- ΔE_f (raw): -104 kJ per mole of atoms
- Calculated volume: 40.132 Å³/atom
- Crystal system: tetragonal
- Space group: P4/mbm, No. 127

Unit cell a=9.5358 b=9.5358 c=4.4135 alpha=90.00 beta=90.00 gamma=90.00
Closest atoms and distances in Å follow each position.
Sites, in units of the cell vectors:
Ba: 0.1447 0.3553 0.0000  6 Te 3.45-3.64, 2 Li 3.66
Ba: 0.3553 0.8553 0.0000  6 Te 3.45-3.64, 2 Li 3.66
Ba: 0.6447 0.1447 0.0000  6 Te 3.45-3.64, 2 Li 3.66
Ba: 0.8553 0.6447 0.0000  6 Te 3.45-3.64, 2 Li 3.66
Li: 0.0000 0.0000 0.0000  4 Ba 3.66
Li: 0.5000 0.5000 0.0000  4 Ba 3.66
Te: 0.1582 0.6582 0.5000  6 Ba 3.45-3.64
Te: 0.3418 0.1582 0.5000  6 Ba 3.45-3.64
Te: 0.6582 0.8418 0.5000  6 Ba 3.45-3.64
Te: 0.8418 0.3418 0.5000  6 Ba 3.45-3.64

=====

# 3
Here is a relaxed Pm2GeP crystal from the Alexandria database. Energies are from PBE-GGA.

Output
- Calculated volume: 23.781 Å³/atom
- Crystal system: cubic
- Space group: Fm-3m, No. 225
- Energy relative to the elements: -731.2 meV/atom

Unit cell a=7.2463 b=7.2463 c=7.2463 alpha=90.00 beta=90.00 gamma=90.00
Closest atoms and distances in Å follow each position.
Sites, in units of the cell vectors:
Pm: 0.2500 0.2500 0.2500  4 Ge 3.14, 4 P 3.14
Pm: 0.2500 0.2500 0.7500  4 Ge 3.14, 4 P 3.14
Pm: 0.2500 0.7500 0.2500  4 Ge 3.14, 4 P 3.14
Pm: 0.2500 0.7500 0.7500  4 Ge 3.14, 4 P 3.14
Pm: 0.7500 0.2500 0.2500  4 Ge 3.14, 4 P 3.14
Pm: 0.7500 0.2500 0.7500  4 Ge 3.14, 4 P 3.14
Pm: 0.7500 0.7500 0.2500  4 Ge 3.14, 4 P 3.14
Pm: 0.7500 0.7500 0.7500  4 Ge 3.14, 4 P 3.14
Ge: 0.0000 0.0000 0.0000  8 Pm 3.14
Ge: 0.0000 0.5000 0.5000  8 Pm 3.14
Ge: 0.5000 0.0000 0.5000  8 Pm 3.14
Ge: 0.5000 0.5000 0.0000  8 Pm 3.14
P: 0.0000 0.0000 0.5000  8 Pm 3.14
P: 0.0000 0.5000 0.0000  8 Pm 3.14
P: 0.5000 0.0000 0.0000  8 Pm 3.14
P: 0.5000 0.5000 0.5000  8 Pm 3.14

=====

# 4
Here is a relaxed VFe2HPt crystal from the Alexandria database. Energies are from PBE-GGA.

Output
- Final energy: -36.2 eV per cell
- Calculated volume: 10.786 Å³/atom
- Crystal system: tetragonal
- Space group: P4/mmm, No. 123

Unit cell a=3.7607 b=3.7607 c=3.8130 alpha=90.00 beta=90.00 gamma=90.00
Closest atoms and distances in Å follow each position.
Sites, in units of the cell vectors:
V: 0.0000 0.0000 0.0000  4 Pt 2.66, 8 Fe 2.68
Fe: 0.0000 0.5000 0.5000  2 H 1.88
Fe: 0.5000 0.0000 0.5000  2 H 1.88
H: 0.5000 0.5000 0.5000  4 Fe 1.88, 2 Pt 1.91
Pt: 0.5000 0.5000 0.0000  2 H 1.91

=====

# 5
Here is a relaxed GePb3Au crystal from the Alexandria database. Energies are from PBE-GGA.

Output
- Calculated volume: 33.537 Å³/atom
- Crystal system: cubic
- Space group: Pm-3m, No. 221
- Energy relative to the elements: 572.3 meV/atom

Unit cell a=5.5144 b=5.5144 c=5.5144 alpha=90.00 beta=90.00 gamma=90.00
Closest atoms and distances in Å follow each position.
Sites, in units of the cell vectors:
Ge: 0.0000 0.0000 0.0000  6 Pb 2.76
Pb: 0.0000 0.0000 0.5000  2 Ge 2.76
Pb: 0.0000 0.5000 0.0000  2 Ge 2.76
Pb: 0.5000 0.0000 0.0000  2 Ge 2.76
Au: 0.5000 0.5000 0.5000  12 Pb 3.90

=====

# 6
Here is a relaxed Ni5Bi3S12 crystal from the Alexandria database. Energies are from PBE-GGA.

Output
- ΔE_f (raw): -18 kJ per mole of atoms
- Calculated volume: 19.552 Å³/atom
- Crystal system: cubic
- Space group: Ia-3d, No. 230

Unit cell a=12.6659 b=12.6659 c=12.6659 alpha=109.47 beta=109.47 gamma=109.47
Closest atoms and distances in Å follow each position.
Sites, in units of the cell vectors:
Ni: 0.0000 0.0000 0.0000  6 S 2.31
Ni: 0.0000 0.0000 0.5000  6 S 2.31
Ni: 0.0000 0.5000 0.0000  6 S 2.31
Ni: 0.0000 0.5000 0.5000  6 S 2.31
Ni: 0.1250 0.7500 0.8750  4 S 2.16
Ni: 0.1250 0.8750 0.2500  4 S 2.16
Ni: 0.2500 0.1250 0.8750  4 S 2.16
Ni: 0.2500 0.6250 0.3750  4 S 2.16
Ni: 0.3750 0.2500 0.6250  4 S 2.16
Ni: 0.3750 0.6250 0.7500  4 S 2.16
Ni: 0.5000 0.0000 0.0000  6 S 2.31
Ni: 0.5000 0.0000 0.5000  6 S 2.31
Ni: 0.5000 0.5000 0.0000  6 S 2.31
Ni: 0.5000 0.5000 0.5000  6 S 2.31
Ni: 0.6250 0.3750 0.2500  4 S 2.16
Ni: 0.6250 0.7500 0.3750  4 S 2.16
Ni: 0.7500 0.3750 0.6250  4 S 2.16
Ni: 0.7500 0.8750 0.1250  4 S 2.16
Ni: 0.8750 0.1250 0.7500  4 S 2.16
Ni: 0.8750 0.2500 0.1250  4 S 2.16
Bi: 0.1250 0.2500 0.3750  8 S 2.85-2.98
Bi: 0.1250 0.3750 0.7500  8 S 2.85-2.98
Bi: 0.2500 0.3750 0.1250  8 S 2.85-2.98
Bi: 0.2500 0.8750 0.6250  8 S 2.85-2.98
Bi: 0.3750 0.1250 0.2500  8 S 2.85-2.98
Bi: 0.3750 0.7500 0.1250  8 S 2.85-2.98
Bi: 0.6250 0.2500 0.8750  8 S 2.85-2.98
Bi: 0.6250 0.8750 0.7500  8 S 2.85-2.98
Bi: 0.7500 0.1250 0.3750  8 S 2.85-2.98
Bi: 0.7500 0.6250 0.8750  8 S 2.85-2.98
Bi: 0.8750 0.6250 0.2500  8 S 2.85-2.98
Bi: 0.8750 0.7500 0.6250  8 S 2.85-2.98
S: 0.0178 0.1967 0.1140  2 Ni 2.16-2.31
S: 0.0178 0.3211 0.9038  2 Ni 2.16-2.31
S: 0.0827 0.6967 0.6789  2 Ni 2.16-2.31
S: 0.0827 0.8860 0.4038  2 Ni 2.16-2.31
S: 0.0962 0.6140 0.4173  2 Ni 2.16-2.31
S: 0.0962 0.9822 0.6789  2 Ni 2.16-2.31
S: 0.1140 0.0178 0.1967  2 Ni 2.16-2.31
S: 0.1140 0.5962 0.9173  2 Ni 2.16-2.31
S: 0.1789 0.1967 0.5827  2 Ni 2.16-2.31
S: 0.1789 0.4822 0.5962  2 Ni 2.16-2.31
S: 0.1967 0.1140 0.0178  2 Ni 2.16-2.31
S: 0.1967 0.5827 0.1789  2 Ni 2.16-2.31
S: 0.3033 0.3211 0.9173  2 Ni 2.16-2.31
S: 0.3033 0.4822 0.3860  2 Ni 2.16-2.31
S: 0.3211 0.9038 0.0178  2 Ni 2.16-2.31
S: 0.3211 0.9173 0.3033  2 Ni 2.16-2.31
S: 0.3860 0.3033 0.4822  2 Ni 2.16-2.31
S: 0.3860 0.5827 0.9038  2 Ni 2.16-2.31
S: 0.4038 0.0827 0.8860  2 Ni 2.16-2.31
S: 0.4038 0.8211 0.5178  2 Ni 2.16-2.31
S: 0.4173 0.0962 0.6140  2 Ni 2.16-2.31
S: 0.4173 0.8211 0.8033  2 Ni 2.16-2.31
S: 0.4822 0.3860 0.3033  2 Ni 2.16-2.31
S: 0.4822 0.5962 0.1789  2 Ni 2.16-2.31
S: 0.5178 0.4038 0.8211  2 Ni 2.16-2.31
S: 0.5178 0.6140 0.6967  2 Ni 2.16-2.31
S: 0.5827 0.1789 0.1967  2 Ni 2.16-2.31
S: 0.5827 0.9038 0.3860  2 Ni 2.16-2.31
S: 0.5962 0.1789 0.4822  2 Ni 2.16-2.31
S: 0.5962 0.9173 0.1140  2 Ni 2.16-2.31
S: 0.6140 0.4173 0.0962  2 Ni 2.16-2.31
S: 0.6140 0.6967 0.5178  2 Ni 2.16-2.31
S: 0.6789 0.0827 0.6967  2 Ni 2.16-2.31
S: 0.6789 0.0962 0.9822  2 Ni 2.16-2.31
S: 0.6967 0.5178 0.6140  2 Ni 2.16-2.31
S: 0.6967 0.6789 0.0827  2 Ni 2.16-2.31
S: 0.8033 0.4173 0.8211  2 Ni 2.16-2.31
S: 0.8033 0.8860 0.9822  2 Ni 2.16-2.31
S: 0.8211 0.5178 0.4038  2 Ni 2.16-2.31
S: 0.8211 0.8033 0.4173  2 Ni 2.16-2.31
S: 0.8860 0.4038 0.0827  2 Ni 2.16-2.31
S: 0.8860 0.9822 0.8033  2 Ni 2.16-2.31
S: 0.9038 0.0178 0.3211  2 Ni 2.16-2.31
S: 0.9038 0.3860 0.5827  2 Ni 2.16-2.31
S: 0.9173 0.1140 0.5962  2 Ni 2.16-2.31
S: 0.9173 0.3033 0.3211  2 Ni 2.16-2.31
S: 0.9822 0.6789 0.0962  2 Ni 2.16-2.31
S: 0.9822 0.8033 0.8860  2 Ni 2.16-2.31